Material: LaP5O14
Method: DFT, PBE
State: relaxed

Output
Its space group is No. 14. The value obtained for the density of states at the Fermi level is 0.00 states/eV per atom. As for the uncorrected formation energy: -2.3508 eV per atom. The value obtained for the raw total energy is -7.42 eV/atom.

Cell: 8.947 9.282 13.290 Å, 90.00 90.10 90.00°
Sites, in units of the cell vectors:
1 O 0.616 0.581 0.254
2 O 0.286 0.316 0.407
3 O 0.785 0.591 0.000
4 P 0.814 0.752 0.500
5 P 0.738 0.952 0.837
6 P 0.814 0.748 0.000
7 O 0.391 0.081 0.758
8 O 0.420 0.617 0.878
9 P 0.738 0.548 0.337
10 O 0.086 0.886 0.652
11 O 0.391 0.419 0.258
12 O 0.086 0.614 0.152
13 P 0.265 0.451 0.337
14 O 0.107 0.418 0.715
15 La 0.778 0.313 0.000
16 O 0.580 0.383 0.122
17 O 0.086 0.614 0.848
18 La 0.778 0.187 0.500
19 O 0.726 0.093 0.887
20 P 0.262 0.048 0.163
21 P 0.186 0.252 0.000
22 O 0.717 0.815 0.906
23 P 0.262 0.452 0.663
24 O 0.914 0.114 0.348
25 O 0.967 0.689 0.501
26 O 0.609 0.581 0.742
27 P 0.499 0.500 0.822
28 O 0.714 0.684 0.593
29 P 0.499 0.000 0.322
30 O 0.893 0.582 0.285
31 P 0.501 0.500 0.178
32 P 0.001 0.499 0.205
33 O 0.887 0.586 0.718
34 P 0.001 0.001 0.705
35 La 0.222 0.687 0.000
36 O 0.616 0.919 0.754
37 P 0.265 0.049 0.837
38 O 0.033 0.189 0.999
39 O 0.384 0.419 0.746
40 O 0.717 0.685 0.406
41 O 0.113 0.414 0.282
42 O 0.914 0.386 0.152
43 O 0.384 0.081 0.246
44 O 0.727 0.407 0.614
45 P 0.501 0.000 0.678
46 P 0.735 0.549 0.663
47 La 0.222 0.813 0.500
48 O 0.274 0.907 0.113
49 O 0.215 0.409 0.000
50 O 0.113 0.086 0.782
51 O 0.273 0.907 0.886
52 O 0.914 0.386 0.848
53 P 0.186 0.248 0.500
54 O 0.215 0.091 0.500
55 P 0.735 0.951 0.163
56 O 0.887 0.914 0.218
57 P 0.999 0.501 0.795
58 O 0.714 0.816 0.093
59 O 0.581 0.115 0.377
60 O 0.283 0.185 0.094
61 P 0.999 0.999 0.295
62 O 0.785 0.909 0.500
63 O 0.419 0.615 0.123
64 O 0.273 0.593 0.386
65 O 0.274 0.593 0.613
66 O 0.726 0.407 0.387
67 O 0.107 0.082 0.215
68 O 0.286 0.184 0.907
69 O 0.609 0.919 0.242
70 O 0.914 0.114 0.652
71 O 0.727 0.093 0.114
72 O 0.033 0.311 0.499
73 O 0.580 0.117 0.622
74 O 0.420 0.883 0.378
75 O 0.419 0.885 0.623
76 O 0.283 0.315 0.594
77 O 0.893 0.918 0.785
78 O 0.967 0.811 0.001
79 O 0.581 0.385 0.877
80 O 0.086 0.886 0.348